An optimized crystal structure of Cu2SiAgSe4. Source: Alexandria via LeMat-Bulk, functional PBE.

Results
For the total DFT energy (no corrections), the calculation gives -4.07 eV per atom. The calculated density is 5.32 g/cm3.

Lattice parameters (Å, degrees): 5.7910 5.7910 10.7659 90.00 90.00 90.00
With the nearest neighbours (Å) after each atom.
Space group I-42m (No. 121)
Unique sites:
Cu  0.0000  0.5000  0.2500 (multiplicity 4)  4 Se 2.43
Si  0.0000  0.0000  0.0000 (multiplicity 2)  4 Se 2.33
Ag  0.0000  0.0000  0.5000 (multiplicity 2)  4 Se 2.64
Se  0.2267  0.2267  0.8698 (multiplicity 8)  1 Si 2.33, 2 Cu 2.43